# Ho7Tl2Tc2 PBE relaxed
data_Ho7Tl2Tc2
_chemical_formula_sum 'Ho7 Tl2 Tc2'
_symmetry_space_group_name_H-M 'P 1'
_symmetry_Int_Tables_number 1
_symmetry_space_group_name_Hall 'P 1'
_cell_length_a 6.625
_cell_length_b 6.625
_cell_length_c 7.645
_cell_angle_alpha 90.00
_cell_angle_beta 90.00
_cell_angle_gamma 113.17
loop_
_atom_site_label
_atom_site_fract_x
_atom_site_fract_y
_atom_site_fract_z
Ho1 0.000 0.000 0.000
Ho2 0.000 0.500 0.266
Ho3 0.000 0.500 0.734
Ho4 0.500 0.000 0.266
Ho5 0.500 0.000 0.734
Ho6 0.500 0.500 0.213
Ho7 0.500 0.500 0.787
Tl1 0.198 0.198 0.500
Tl2 0.802 0.802 0.500
Tc1 0.297 0.703 0.000
Tc2 0.703 0.297 0.000
# E_form: -0.044 eV/atom
# E_tot: -5.2725 eV/atom